Record 1
# PBE Ge2B2Se, relaxed
# * M_tot: 0.000 μB/atom
# * D(E_F): 2.1 states/eV per cell
# * uncorrected formation energy: 3.8 eV per formula unit
data_Ge2B2Se
_space_group_name_H-M_alt 'P 1'
_space_group_IT_number 1
_cell_length_a 5.1249
_cell_length_b 5.1249
_cell_length_c 5.1249
_cell_angle_alpha 132.85
_cell_angle_beta 132.85
_cell_angle_gamma 68.89
loop_
_space_group_symop_operation_xyz
'x,y,z'
loop_
_atom_site_label
_atom_site_type_symbol
_atom_site_fract_x
_atom_site_fract_y
_atom_site_fract_z
Ge1 Ge 0.2500 0.7500 0.5000
Ge2 Ge 0.7500 0.2500 0.5000
B1 B 0.1009 0.1009 0.0000
B2 B 0.8991 0.8991 0.0000
Se1 Se 0.5000 0.5000 0.0000

---

Record 2
# PBE VCuNiBr2, relaxed
# * M_tot: 0.754 μB/atom
# * D(E_F): 5.7 states/eV per cell
# * uncorrected formation energy: 3.4 eV per formula unit
data_VCuNiBr2
_space_group_name_H-M_alt 'P 1'
_space_group_IT_number 1
_cell_length_a 4.8046
_cell_length_b 4.8046
_cell_length_c 4.5686
_cell_angle_alpha 90.00
_cell_angle_beta 90.00
_cell_angle_gamma 90.00
loop_
_space_group_symop_operation_xyz
'x,y,z'
loop_
_atom_site_label
_atom_site_type_symbol
_atom_site_fract_x
_atom_site_fract_y
_atom_site_fract_z
V1 V 0.0000 0.0000 0.0000
Cu1 Cu 0.5000 0.5000 0.0000
Ni1 Ni 0.5000 0.5000 0.5000
Br1 Br 0.0000 0.5000 0.5000
Br2 Br 0.5000 0.0000 0.5000

---

Record 3
# PBE HoHf2Zr3N6, relaxed
# * M_tot: 0.000 μB/atom
# * D(E_F): 2.9 states/eV per cell
# * uncorrected formation energy: -20.7 eV per formula unit
data_HoHf2Zr3N6
_space_group_name_H-M_alt 'P 1'
_space_group_IT_number 1
_cell_length_a 7.3126
_cell_length_b 7.3126
_cell_length_c 6.5758
_cell_angle_alpha 102.96
_cell_angle_beta 102.96
_cell_angle_gamma 25.73
loop_
_space_group_symop_operation_xyz
'x,y,z'
loop_
_atom_site_label
_atom_site_type_symbol
_atom_site_fract_x
_atom_site_fract_y
_atom_site_fract_z
Ho1 Ho 0.0000 0.0000 0.0000
Hf1 Hf 0.3331 0.3331 0.6658
Hf2 Hf 0.6669 0.6669 0.3342
Zr1 Zr 0.0000 0.0000 0.5000
Zr2 Zr 0.3341 0.3341 0.1683
Zr3 Zr 0.6659 0.6659 0.8317
N1 N 0.1694 0.1694 0.5757
N2 N 0.1701 0.1701 0.0944
N3 N 0.4954 0.4954 0.7399
N4 N 0.5046 0.5046 0.2601
N5 N 0.8299 0.8299 0.9056
N6 N 0.8306 0.8306 0.4243

---

Record 4
# PBE PmPr5Sm2Ho, relaxed
# * M_tot: 0.000 μB/atom
# * ΔH_f (0 K): 0.282 eV per atom
# * D(E_F): 31.0 states/eV per cell
data_PmPr5Sm2Ho
_space_group_name_H-M_alt 'P 1'
_space_group_IT_number 1
_cell_length_a 10.1898
_cell_length_b 10.1898
_cell_length_c 10.1898
_cell_angle_alpha 128.04
_cell_angle_beta 128.04
_cell_angle_gamma 76.55
loop_
_space_group_symop_operation_xyz
'x,y,z'
loop_
_atom_site_label
_atom_site_type_symbol
_atom_site_fract_x
_atom_site_fract_y
_atom_site_fract_z
Pm1 Pm 0.2500 0.2500 0.0000
Pm2 Pm 0.7500 0.7500 0.0000
Pr1 Pr 0.0000 0.0000 0.0000
Pr2 Pr 0.0699 0.5699 0.9188
Pr3 Pr 0.1511 0.0699 0.5000
Pr4 Pr 0.3489 0.8489 0.9188
Pr5 Pr 0.4301 0.3489 0.5000
Pr6 Pr 0.5000 0.5000 0.0000
Pr7 Pr 0.5699 0.6511 0.5000
Pr8 Pr 0.6511 0.1511 0.0812
Pr9 Pr 0.8489 0.9301 0.5000
Pr10 Pr 0.9301 0.4301 0.0812
Sm1 Sm 0.1167 0.3833 0.5000
Sm2 Sm 0.3833 0.8833 0.2667
Sm3 Sm 0.6167 0.1167 0.7333
Sm4 Sm 0.8833 0.6167 0.5000
Ho1 Ho 0.2500 0.7500 0.5000
Ho2 Ho 0.7500 0.2500 0.5000

---

Record 5
# PBE Tb2Nd3Y2, relaxed
# * M_tot: 0.000 μB/atom
# * ΔH_f (0 K): 0.017 eV per atom
# * D(E_F): 9.8 states/eV per cell
data_Tb2Nd3Y2
_space_group_name_H-M_alt 'P 1'
_space_group_IT_number 1
_cell_length_a 3.6163
_cell_length_b 8.0878
_cell_length_c 8.8436
_cell_angle_alpha 68.73
_cell_angle_beta 89.92
_cell_angle_gamma 77.11
loop_
_space_group_symop_operation_xyz
'x,y,z'
loop_
_atom_site_label
_atom_site_type_symbol
_atom_site_fract_x
_atom_site_fract_y
_atom_site_fract_z
Tb1 Tb 0.2155 0.0696 0.1419
Tb2 Tb 0.7845 0.9304 0.8581
Nd1 Nd 0.3574 0.7855 0.5732
Nd2 Nd 0.5000 0.5000 0.0000
Nd3 Nd 0.6426 0.2145 0.4268
Y1 Y 0.0727 0.3543 0.7157
Y2 Y 0.9273 0.6457 0.2843